[1]
Material: BeTcHg2
Method: DFT, meta-GGA SCAN
State: single point on PBEsol structure

abc: 2.923 5.013 8.862
angles: 90.00 90.00 90.00
Space group Cmmm (No. 65)
One atom of each set of equivalent atoms:
Be 0.000 0.000 0.000
Tc 0.000 0.000 0.500
Hg 0.000 0.500 0.229

The calculation puts the calculated total energy at -1.591 hartree per atom. Its calculated volume is 16.23 Å³/atom. The energy of formation from the pure elements is 0.64 eV/atom.

[2]
Material: ScSb2
Method: DFT, meta-GGA SCAN
State: single point on PBEsol structure

abc: 10.340 3.891 7.737
angles: 90.00 110.66 90.00
Space group C2/m (No. 12)
One atom of each set of equivalent atoms:
Sc 0.172 0.000 0.161
Sb 0.050 0.500 0.844
Sb 0.156 0.000 0.548

The calculation puts the calculated total energy at -1.110 hartree per atom. The value obtained for the formation energy (no corrections) is -0.611 eV/atom. Its calculated volume is 24.27 Å³/atom.

[3]
Material: Li2VO2F2
Method: DFT, meta-GGA SCAN
State: single point on PBEsol structure

abc: 5.003 5.716 4.944
angles: 90.00 110.77 90.00
Space group P2/c (No. 13)
One atom of each set of equivalent atoms:
Li 0.000 0.108 0.250
Li 0.000 0.358 0.750
V 0.500 0.408 0.250
O 0.268 0.392 0.492
F 0.238 0.147 0.024

The calculation puts the calculated total energy at -0.323 hartree per atom. The value obtained for the formation energy (no corrections) is -2.817 eV/atom. Its calculated volume is 9.44 Å³/atom.